[1]
A relaxed structure of Dy8Hg3CS3. Source: the Alexandria database, functional PBE.

a = 8.7666 Å, b = 8.7666 Å, c = 8.7666 Å
α = 51.71°, β = 51.71°, γ = 51.71°
Last column: nearest neighbours and their distance in Å.
Fractional coordinates of all 15 atoms:
Dy 0.2365 0.2365 0.2365  3 S 2.72
Dy 0.2639 0.7167 0.7167  1 C 2.50, 2 S 2.76
Dy 0.2833 0.2833 0.7361  1 C 2.50, 2 S 2.76
Dy 0.2833 0.7361 0.2833  1 C 2.50, 2 S 2.76
Dy 0.7167 0.2639 0.7167  1 C 2.50, 2 S 2.76
Dy 0.7167 0.7167 0.2639  1 C 2.50, 2 S 2.76
Dy 0.7361 0.2833 0.2833  1 C 2.50, 2 S 2.76
Dy 0.7635 0.7635 0.7635  3 S 2.72
Hg 0.0000 0.5000 0.5000  6 Dy 3.12
Hg 0.5000 0.0000 0.5000  6 Dy 3.12
Hg 0.5000 0.5000 0.0000  6 Dy 3.12
C 0.5000 0.5000 0.5000  6 Dy 2.50
S 0.0000 0.0000 0.5000  6 Dy 2.72-2.76
S 0.0000 0.5000 0.0000  6 Dy 2.72-2.76
S 0.5000 0.0000 0.0000  6 Dy 2.72-2.76

Values from the calculation:
The formation energy without anion corrections comes out at -992 meV/atom. The density of states at the Fermi level comes out at 0.65 states/eV/atom.

=====

[2]
A relaxed structure of Dy4HgSbC. Source: the Alexandria database, functional PBE.

a = 8.4657 Å, b = 8.4657 Å, c = 6.8025 Å
α = 90.00°, β = 90.00°, γ = 132.48°
Last column: nearest neighbours and their distance in Å.
Fractional coordinates of all 14 atoms:
Dy 0.0000 0.5000 0.0000  2 C 2.41
Dy 0.0000 0.5000 0.5000  2 C 2.41
Dy 0.0841 0.9159 0.7500  1 C 2.57
Dy 0.4091 0.5909 0.7500  1 C 2.47
Dy 0.5000 0.0000 0.0000  2 C 2.41
Dy 0.5000 0.0000 0.5000  2 C 2.41
Dy 0.5909 0.4091 0.2500  1 C 2.47
Dy 0.9159 0.0841 0.2500  1 C 2.57
Hg 0.1144 0.8856 0.2500  9 Dy 3.08-3.43
Hg 0.8856 0.1144 0.7500  9 Dy 3.08-3.43
Sb 0.3893 0.6107 0.2500  9 Dy 3.12-3.44
Sb 0.6107 0.3893 0.7500  9 Dy 3.12-3.44
C 0.2501 0.7499 0.7500  6 Dy 2.41-2.57
C 0.7499 0.2501 0.2500  6 Dy 2.41-2.57

Values from the calculation:
The formation energy without anion corrections comes out at -599 meV/atom. The density of states at the Fermi level comes out at 0.60 states/eV/atom.

=====

[3]
A relaxed structure of Dy8Hg3CSe3. Source: the Alexandria database, functional PBE.

a = 8.8087 Å, b = 8.8087 Å, c = 8.8087 Å
α = 53.28°, β = 53.28°, γ = 53.28°
Last column: nearest neighbours and their distance in Å.
Fractional coordinates of all 15 atoms:
Dy 0.2419 0.2419 0.2419  3 Se 2.84, 3 Hg 3.08
Dy 0.2781 0.7127 0.7127  1 C 2.51
Dy 0.2873 0.2873 0.7219  1 C 2.51
Dy 0.2873 0.7219 0.2873  1 C 2.51
Dy 0.7127 0.2781 0.7127  1 C 2.51
Dy 0.7127 0.7127 0.2781  1 C 2.51
Dy 0.7219 0.2873 0.2873  1 C 2.51
Dy 0.7581 0.7581 0.7581  3 Se 2.84, 3 Hg 3.08
Hg 0.0000 0.5000 0.5000  6 Dy 3.08-3.10
Hg 0.5000 0.0000 0.5000  6 Dy 3.08-3.10
Hg 0.5000 0.5000 0.0000  6 Dy 3.08-3.10
C 0.5000 0.5000 0.5000  6 Dy 2.51
Se 0.0000 0.0000 0.5000  6 Dy 2.84-2.88
Se 0.0000 0.5000 0.0000  6 Dy 2.84-2.88
Se 0.5000 0.0000 0.0000  6 Dy 2.84-2.88

Values from the calculation:
The formation energy without anion corrections comes out at -889 meV/atom. The density of states at the Fermi level comes out at 0.64 states/eV/atom.

=====

[4]
A relaxed structure of Sm2DyHgC. Source: the Alexandria database, functional PBE.

a = 5.0600 Å, b = 5.0600 Å, c = 4.8538 Å
α = 90.00°, β = 90.00°, γ = 90.00°
Last column: nearest neighbours and their distance in Å.
Fractional coordinates of all 5 atoms:
Sm 0.0000 0.5000 0.0000  2 C 2.53
Sm 0.5000 0.0000 0.0000  2 C 2.53
Dy 0.0000 0.0000 0.5000  2 C 2.43
Hg 0.5000 0.5000 0.5000  8 Sm 3.51, 4 Dy 3.58
C 0.0000 0.0000 0.0000  2 Dy 2.43, 4 Sm 2.53

Values from the calculation:
The value obtained for the formation enthalpy at 0 K is -0.29 eV/atom. The density of states at the Fermi level comes out at 1.24 states/eV/atom.

=====

[5]
A relaxed structure of Sm3DyHg2C. Source: the Alexandria database, functional PBE.

a = 4.9220 Å, b = 5.0732 Å, c = 15.0887 Å
α = 90.00°, β = 90.00°, γ = 90.00°
Last column: nearest neighbours and their distance in Å.
Fractional coordinates of all 14 atoms:
Sm 0.0000 0.0000 0.0000  2 C 2.54
Sm 0.0000 0.5000 0.1673  1 C 2.52
Sm 0.0000 0.5000 0.8327  1 C 2.52
Sm 0.5000 0.0000 0.3327  1 C 2.52
Sm 0.5000 0.0000 0.6673  1 C 2.52
Sm 0.5000 0.5000 0.5000  2 C 2.54
Dy 0.0000 0.0000 0.5000  2 C 2.46
Dy 0.5000 0.5000 0.0000  2 C 2.46
Hg 0.0000 0.5000 0.3704  3 Sm 3.06-3.14, 2 Dy 3.20
Hg 0.0000 0.5000 0.6296  3 Sm 3.06-3.14, 2 Dy 3.20
Hg 0.5000 0.0000 0.1296  3 Sm 3.06-3.14, 2 Dy 3.20
Hg 0.5000 0.0000 0.8704  3 Sm 3.06-3.14, 2 Dy 3.20
C 0.0000 0.5000 0.0000  2 Dy 2.46, 4 Sm 2.52-2.54
C 0.5000 0.0000 0.5000  2 Dy 2.46, 4 Sm 2.52-2.54

Values from the calculation:
The value obtained for the formation enthalpy at 0 K is -0.33 eV/atom. The density of states at the Fermi level comes out at 0.98 states/eV/atom.

=====

[6]
A relaxed structure of Dy4SnHgC. Source: the Alexandria database, functional PBE.

a = 8.3233 Å, b = 8.3233 Å, c = 6.9110 Å
α = 90.00°, β = 90.00°, γ = 130.82°
Last column: nearest neighbours and their distance in Å.
Fractional coordinates of all 14 atoms:
Dy 0.0000 0.5000 0.0000  2 C 2.45
Dy 0.0000 0.5000 0.5000  2 C 2.45
Dy 0.0830 0.9170 0.7500  1 C 2.52
Dy 0.4113 0.5887 0.7500  1 C 2.45
Dy 0.5000 0.0000 0.0000  2 C 2.45
Dy 0.5000 0.0000 0.5000  2 C 2.45
Dy 0.5887 0.4113 0.2500  1 C 2.45
Dy 0.9170 0.0830 0.2500  1 C 2.52
Sn 0.3834 0.6166 0.2500  5 Dy 3.11-3.17
Sn 0.6166 0.3834 0.7500  5 Dy 3.11-3.17
Hg 0.1165 0.8835 0.2500  5 Dy 3.02-3.17
Hg 0.8835 0.1165 0.7500  5 Dy 3.02-3.17
C 0.2493 0.7507 0.7500  6 Dy 2.45-2.52
C 0.7507 0.2493 0.2500  6 Dy 2.45-2.52

Values from the calculation:
The value obtained for the formation enthalpy at 0 K is -0.49 eV/atom. The density of states at the Fermi level comes out at 0.40 states/eV/atom.

=====

[7]
A relaxed structure of DyThHgC. Source: the Alexandria database, functional PBE.

a = 3.6449 Å, b = 3.6449 Å, c = 24.1559 Å
α = 90.00°, β = 90.00°, γ = 120.00°
Last column: nearest neighbours and their distance in Å.
Fractional coordinates of all 12 atoms:
Dy 0.0000 0.0000 0.0000  3 C 2.52
Dy 0.3333 0.6667 0.6667  3 C 2.52
Dy 0.6667 0.3333 0.3333  3 C 2.52
Th 0.0000 0.0000 0.2173  3 C 2.54
Th 0.3333 0.6667 0.8839  3 C 2.54
Th 0.6667 0.3333 0.5506  3 C 2.54
Hg 0.0000 0.0000 0.7703  3 Dy 3.27, 3 Th 3.46, 6 Hg 3.64
Hg 0.3333 0.6667 0.4370  3 Dy 3.27, 3 Th 3.46, 6 Hg 3.64
Hg 0.6667 0.3333 0.1036  3 Dy 3.27, 3 Th 3.46, 6 Hg 3.64
C 0.0000 0.0000 0.6094  3 Dy 2.52, 3 Th 2.54
C 0.3333 0.6667 0.2761  3 Dy 2.52, 3 Th 2.54
C 0.6667 0.3333 0.9428  3 Dy 2.52, 3 Th 2.54

Values from the calculation:
The value obtained for the formation enthalpy at 0 K is -0.35 eV/atom. The density of states at the Fermi level comes out at 1.00 states/eV/atom.

=====

[8]
A relaxed structure of Dy2ThHgC. Source: the Alexandria database, functional PBE.

a = 4.9259 Å, b = 4.9259 Å, c = 5.0342 Å
α = 90.00°, β = 90.00°, γ = 90.00°
Last column: nearest neighbours and their distance in Å.
Fractional coordinates of all 5 atoms:
Dy 0.0000 0.5000 0.0000  2 C 2.46
Dy 0.5000 0.0000 0.0000  2 C 2.46
Th 0.0000 0.0000 0.5000  2 C 2.52
Hg 0.5000 0.5000 0.5000  4 Th 3.48, 8 Dy 3.52
C 0.0000 0.0000 0.0000  4 Dy 2.46, 2 Th 2.52

Values from the calculation:
The value obtained for the formation enthalpy at 0 K is -0.34 eV/atom. The density of states at the Fermi level comes out at 0.88 states/eV/atom.

=====

[9]
A relaxed structure of Dy4TlHgC. Source: the Alexandria database, functional PBE.

a = 8.2561 Å, b = 8.2561 Å, c = 6.9753 Å
α = 90.00°, β = 90.00°, γ = 130.06°
Last column: nearest neighbours and their distance in Å.
Fractional coordinates of all 14 atoms:
Dy 0.0000 0.5000 0.0000  2 C 2.47
Dy 0.0000 0.5000 0.5000  2 C 2.47
Dy 0.0833 0.9167 0.7500  1 C 2.48
Dy 0.4133 0.5867 0.7500  1 C 2.46
Dy 0.5000 0.0000 0.0000  2 C 2.47
Dy 0.5000 0.0000 0.5000  2 C 2.47
Dy 0.5867 0.4133 0.2500  1 C 2.46
Dy 0.9167 0.0833 0.2500  1 C 2.48
Tl 0.3821 0.6179 0.2500  5 Dy 3.06-3.16
Tl 0.6179 0.3821 0.7500  5 Dy 3.06-3.16
Hg 0.1193 0.8807 0.2500  5 Dy 3.03-3.15
Hg 0.8807 0.1193 0.7500  5 Dy 3.03-3.15
C 0.2487 0.7513 0.7500  6 Dy 2.46-2.48
C 0.7513 0.2487 0.2500  6 Dy 2.46-2.48

Values from the calculation:
The value obtained for the formation enthalpy at 0 K is -0.34 eV/atom. The density of states at the Fermi level comes out at 0.86 states/eV/atom.

=====

[10]
A relaxed structure of Dy2YHgC. Source: the Alexandria database, functional PBE.

a = 4.9081 Å, b = 4.9081 Å, c = 4.9000 Å
α = 90.00°, β = 90.00°, γ = 90.00°
Last column: nearest neighbours and their distance in Å.
Fractional coordinates of all 5 atoms:
Dy 0.0000 0.5000 0.0000  2 C 2.45
Dy 0.5000 0.0000 0.0000  2 C 2.45
Y 0.0000 0.0000 0.5000  2 C 2.45
Hg 0.5000 0.5000 0.5000  8 Dy 3.47, 4 Y 3.47
C 0.0000 0.0000 0.0000  2 Y 2.45, 4 Dy 2.45

Values from the calculation:
The value obtained for the formation enthalpy at 0 K is -0.38 eV/atom. The density of states at the Fermi level comes out at 1.55 states/eV/atom.

=====

[11]
A relaxed structure of DyZrHgC. Source: the Alexandria database, functional PBE.

a = 3.4508 Å, b = 3.4508 Å, c = 23.1507 Å
α = 90.00°, β = 90.00°, γ = 120.00°
Last column: nearest neighbours and their distance in Å.
Fractional coordinates of all 12 atoms:
Dy 0.0000 0.0000 0.0000  3 C 2.50
Dy 0.3333 0.6667 0.6667  3 C 2.50
Dy 0.6667 0.3333 0.3333  3 C 2.50
Zr 0.0000 0.0000 0.2194  3 C 2.29
Zr 0.3333 0.6667 0.8861  3 C 2.29
Zr 0.6667 0.3333 0.5527  3 C 2.29
Hg 0.0000 0.0000 0.7802  3 Zr 3.16, 3 Dy 3.30, 6 Hg 3.45
Hg 0.3333 0.6667 0.4469  3 Zr 3.16, 3 Dy 3.30, 6 Hg 3.45
Hg 0.6667 0.3333 0.1136  3 Zr 3.16, 3 Dy 3.30, 6 Hg 3.45
C 0.0000 0.0000 0.6017  3 Zr 2.29, 3 Dy 2.50
C 0.3333 0.6667 0.2684  3 Zr 2.29, 3 Dy 2.50
C 0.6667 0.3333 0.9350  3 Zr 2.29, 3 Dy 2.50

Values from the calculation:
The value obtained for the formation enthalpy at 0 K is -0.47 eV/atom. The density of states at the Fermi level comes out at 0.73 states/eV/atom.

=====

[12]
A relaxed structure of DyHoC4. Source: the Alexandria database, functional PBE.

a = 3.6596 Å, b = 3.6596 Å, c = 6.1957 Å
α = 90.00°, β = 90.00°, γ = 90.00°
Last column: nearest neighbours and their distance in Å.
Fractional coordinates of all 6 atoms:
Dy 0.0000 0.0000 0.0000  10 C 2.45-2.67
Ho 0.5000 0.5000 0.5000  10 C 2.45-2.67
C 0.0000 0.0000 0.3949  1 C 1.30
C 0.0000 0.0000 0.6051  1 C 1.30
C 0.5000 0.5000 0.1052  1 C 1.30
C 0.5000 0.5000 0.8948  1 C 1.30

Values from the calculation:
The value obtained for the formation enthalpy at 0 K is -0.19 eV/atom. The density of states at the Fermi level comes out at 0.23 states/eV/atom.